A plane-wave DFT calculation with GGA-PBE was carried out for KZr2SeCl after structural relaxation.

a b c (Å): 4.7919 6.3980 4.7919
angles (deg): 90.00 90.00 90.00
With the nearest neighbours (Å) after each atom.
Fractional coordinates of all 5 atoms:
Zr: 0.5000 0.0000 0.0000  2 Cl 2.40
Zr: 0.0000 0.0000 0.5000  2 Cl 2.40
Se: 0.0000 0.5000 0.0000  2 Cl 3.20, 4 K 3.39
K: 0.5000 0.5000 0.5000  4 Se 3.39
Cl: 0.0000 0.0000 0.0000  4 Zr 2.40

ΔE_f (raw), eV per atom: 0.1470

A plane-wave DFT calculation with GGA-PBE was carried out for SbI2NO after structural relaxation.

a b c (Å): 5.7684 5.7684 4.2529
angles (deg): 90.00 90.00 90.00
With the nearest neighbours (Å) after each atom.
Fractional coordinates of all 5 atoms:
O: 0.0000 0.0000 0.0000  2 Sb 2.13
I: 0.5000 0.0000 0.0000  2 O 2.88
I: 0.0000 0.5000 0.0000  2 O 2.88
Sb: 0.0000 0.0000 0.5000  2 O 2.13
N: 0.5000 0.5000 0.5000  8 I 3.58

ΔE_f (raw), eV per atom: 1.1711

A plane-wave DFT calculation with GGA-PBE was carried out for Ca3In3Ag after structural relaxation.

a b c (Å): 4.3895 6.2624 15.8235
angles (deg): 84.03 82.03 69.48
With the nearest neighbours (Å) after each atom.
Fractional coordinates of all 14 atoms:
Ca: 0.6141 0.6955 0.0764  7 In 3.26-3.41
Ca: 0.4801 0.6590 0.3807  3 Ag 3.26-3.46, 6 In 3.31-3.45
Ca: 0.7382 0.7569 0.7668  2 Ag 3.27, 6 In 3.29-3.60
Ca: 0.3859 0.3045 0.9236  7 In 3.26-3.41
Ca: 0.5199 0.3410 0.6193  3 Ag 3.26-3.46, 6 In 3.31-3.45
Ca: 0.2618 0.2431 0.2332  2 Ag 3.27, 6 In 3.29-3.60
In: 0.1448 0.2476 0.4629  3 Ag 2.80-3.02
In: 0.8552 0.7524 0.5371  3 Ag 2.80-3.02
In: 0.0170 0.1952 0.7707  1 Ag 2.87, 1 In 3.00
In: 0.8916 0.1400 0.0767  2 In 2.99-3.00, 1 Ca 3.26
In: 0.9830 0.8048 0.2293  1 Ag 2.87, 1 In 3.00
In: 0.1084 0.8600 0.9233  2 In 2.99-3.00, 1 Ca 3.26
Ag: 0.2236 0.9307 0.6222  4 In 2.80-3.02
Ag: 0.7764 0.0693 0.3778  4 In 2.80-3.02

Energy of formation from the pure elements, eV/atom: -0.392

A plane-wave DFT calculation with GGA-PBE was carried out for CoNiSb2 after structural relaxation.

a b c (Å): 5.5452 5.5452 5.5452
angles (deg): 140.23 140.23 57.51
With the nearest neighbours (Å) after each atom.
Fractional coordinates of all 4 atoms:
Sb: 0.0000 0.0000 0.0000  4 Co 2.67
Sb: 0.2500 0.7500 0.5000  4 Ni 2.67
Ni: 0.7500 0.2500 0.5000  4 Sb 2.67
Co: 0.5000 0.5000 0.0000  4 Sb 2.67

ΔE_f (raw), eV per atom: 0.2984

A plane-wave DFT calculation with GGA-PBE was carried out for NaAg6Au12 after structural relaxation.

a b c (Å): 7.2927 7.2927 7.2927
angles (deg): 101.36 101.36 101.36
With the nearest neighbours (Å) after each atom.
Fractional coordinates of all 19 atoms:
Au: 0.5960 0.1852 0.5928  6 Au 2.72-3.04, 1 Ag 2.97
Au: 0.8148 0.4072 0.4040  6 Au 2.72-3.04, 1 Ag 2.97
Au: 0.1852 0.5928 0.5960  6 Au 2.72-3.04, 1 Ag 2.97
Au: 0.5928 0.5960 0.1852  6 Au 2.72-3.04, 1 Ag 2.97
Au: 0.0012 0.2576 0.7425  6 Au 2.84-3.07, 4 Ag 2.85-3.05, 1 Na 2.91
Au: 0.2575 0.9988 0.7424  6 Au 2.84-3.07, 4 Ag 2.85-3.05, 1 Na 2.91
Au: 0.9988 0.7424 0.2575  6 Au 2.84-3.07, 4 Ag 2.85-3.05, 1 Na 2.91
Au: 0.4072 0.4040 0.8148  6 Au 2.72-3.04, 1 Ag 2.97
Au: 0.2576 0.7425 0.0012  6 Au 2.84-3.07, 4 Ag 2.85-3.05, 1 Na 2.91
Au: 0.7425 0.0012 0.2576  6 Au 2.84-3.07, 4 Ag 2.85-3.05, 1 Na 2.91
Au: 0.7424 0.2575 0.9988  6 Au 2.84-3.07, 4 Ag 2.85-3.05, 1 Na 2.91
Au: 0.4040 0.8148 0.4072  6 Au 2.72-3.04, 1 Ag 2.97
Ag: 0.5728 0.8263 0.8286  7 Au 2.85-3.05, 2 Ag 2.87, 1 Na 3.03
Ag: 0.4272 0.1737 0.1714  7 Au 2.85-3.05, 2 Ag 2.87, 1 Na 3.03
Ag: 0.1714 0.4272 0.1737  7 Au 2.85-3.05, 2 Ag 2.87, 1 Na 3.03
Ag: 0.8263 0.8286 0.5728  7 Au 2.85-3.05, 2 Ag 2.87, 1 Na 3.03
Ag: 0.8286 0.5728 0.8263  7 Au 2.85-3.05, 2 Ag 2.87, 1 Na 3.03
Ag: 0.1737 0.1714 0.4272  7 Au 2.85-3.05, 2 Ag 2.87, 1 Na 3.03
Na: 0.0000 0.0000 0.0000  6 Au 2.91, 6 Ag 3.03

Energy of formation from the pure elements, eV/atom: 0.029

A plane-wave DFT calculation with GGA-PBE was carried out for NaCeHo2 after structural relaxation.

a b c (Å): 3.4917 3.4917 10.3680
angles (deg): 90.00 90.00 90.00
With the nearest neighbours (Å) after each atom.
Fractional coordinates of all 4 atoms:
Ho: 0.0000 0.0000 0.2236  4 Ce 3.39, 4 Ho 3.49, 4 Na 3.78
Ho: 0.0000 0.0000 0.7764  4 Ce 3.39, 4 Ho 3.49, 4 Na 3.78
Ce: 0.5000 0.5000 0.0000  8 Ho 3.39, 4 Ce 3.49
Na: 0.5000 0.5000 0.5000  4 Na 3.49, 8 Ho 3.78

Energy of formation from the pure elements, eV/atom: 0.158

A plane-wave DFT calculation with GGA-PBE was carried out for Sc6Pd5 after structural relaxation.

a b c (Å): 4.6710 6.5086 7.3584
angles (deg): 90.00 71.79 90.00
With the nearest neighbours (Å) after each atom.
Fractional coordinates of all 11 atoms:
Pd: 0.3290 0.5000 0.3424  8 Sc 2.85-2.91
Pd: 0.6695 0.0000 0.6609  8 Sc 2.83-2.86
Pd: 0.3305 0.0000 0.3391  8 Sc 2.83-2.86
Pd: 0.6710 0.5000 0.6576  8 Sc 2.85-2.91
Pd: 0.0000 0.5000 0.0000  8 Sc 2.81-2.87
Sc: 0.5000 0.2448 0.0000  6 Pd 2.86-2.91, 1 Sc 3.19
Sc: 0.1623 0.7536 0.6749  7 Pd 2.81-2.86
Sc: 0.8377 0.2464 0.3251  7 Pd 2.81-2.86
Sc: 0.5000 0.7552 0.0000  6 Pd 2.86-2.91, 1 Sc 3.19
Sc: 0.8377 0.7536 0.3251  7 Pd 2.81-2.86
Sc: 0.1623 0.2464 0.6749  7 Pd 2.81-2.86

Energy of formation from the pure elements, eV/atom: -0.786

A plane-wave DFT calculation with GGA-PBE was carried out for AlTlP2Cl after structural relaxation.

a b c (Å): 5.1564 5.1564 5.6161
angles (deg): 90.00 90.00 90.00
With the nearest neighbours (Å) after each atom.
Fractional coordinates of all 5 atoms:
P: 0.5000 0.0000 0.0000  2 Tl 2.58
P: 0.0000 0.5000 0.0000  2 Tl 2.58
Cl: 0.0000 0.0000 0.5000  2 Tl 2.81
Al: 0.5000 0.5000 0.5000  4 Cl 3.65, 8 P 3.81
Tl: 0.0000 0.0000 0.0000  4 P 2.58, 2 Cl 2.81

ΔE_f (raw), eV per atom: 0.9051

A plane-wave DFT calculation with GGA-PBE was carried out for Y2PdAu6 after structural relaxation.

a b c (Å): 4.0099 7.1213 7.0529
angles (deg): 111.93 106.52 90.00
With the nearest neighbours (Å) after each atom.
Fractional coordinates of all 9 atoms:
Au: 0.2727 0.1786 0.5454  7 Au 2.91-3.17, 3 Y 3.00, 1 Pd 3.03
Au: 0.7273 0.8214 0.4546  7 Au 2.91-3.17, 3 Y 3.00, 1 Pd 3.03
Au: 0.3945 0.8271 0.7890  6 Au 2.94-3.08, 4 Y 3.04-3.09, 1 Pd 3.17
Au: 0.1638 0.5006 0.3277  8 Au 2.91-3.17, 2 Pd 2.99, 2 Y 3.02-3.08
Au: 0.8362 0.4994 0.6723  8 Au 2.91-3.17, 2 Pd 2.99, 2 Y 3.02-3.08
Au: 0.6055 0.1729 0.2110  6 Au 2.94-3.08, 4 Y 3.04-3.09, 1 Pd 3.17
Pd: 0.5000 0.5000 0.0000  4 Y 2.90, 8 Au 2.99-3.17
Y: 0.9378 0.1807 0.8757  2 Pd 2.90, 9 Au 3.00-3.09
Y: 0.0622 0.8193 0.1243  2 Pd 2.90, 9 Au 3.00-3.09

Energy of formation from the pure elements, eV/atom: -0.597

A plane-wave DFT calculation with GGA-PBE was carried out for EuNpRu4 after structural relaxation.

a b c (Å): 5.3403 5.3403 5.3403
angles (deg): 60.00 60.00 60.00
With the nearest neighbours (Å) after each atom.
Fractional coordinates of all 6 atoms:
Ru: 0.6248 0.1255 0.6248  6 Ru 2.67
Ru: 0.1255 0.6248 0.6248  6 Ru 2.67
Ru: 0.6248 0.6248 0.6248  6 Ru 2.67
Ru: 0.6248 0.6248 0.1255  6 Ru 2.67
Np: 0.2500 0.2500 0.2500  12 Ru 3.13, 4 Eu 3.27
Eu: 0.0000 0.0000 0.0000  12 Ru 3.13, 4 Np 3.27

Energy of formation from the pure elements, eV/atom: 0.055

Number 1: energy -4.558 eV per atom. Number 2: energy -2.930 eV per atom. Number 3: energy -2.830 eV per atom. Number 4: energy -4.985 eV per atom. Number 5: energy -3.011 eV per atom. Number 6: energy -3.944 eV per atom. Number 7: energy -6.600 eV per atom. Number 8: energy -2.850 eV per atom. Number 9: energy -4.796 eV per atom. Number 10: energy -9.998 eV per atom.